(1)
Computed, not measured: a PBEsol-optimized structure of BaLa2HfIr at the SCAN level of DFT.

Cell: 5.7676 5.7676 4.8700 Å, 90.00 90.00 90.00°
Closest atoms and distances in Å follow each position.
Space group P4/mmm (No. 123)
Inequivalent atoms, fractional coordinates:
1 Ba 0.0000 0.0000 0.0000 [1 per cell]  8 La 3.77, 4 Ir 4.08
2 La 0.0000 0.5000 0.5000 [2 per cell]  2 Hf 2.88
3 Hf 0.5000 0.5000 0.5000 [1 per cell]  2 Ir 2.43
4 Ir 0.5000 0.5000 0.0000 [1 per cell]  2 Hf 2.43

Values from the calculation:
D(E_F) ... 5.42 states/eV per cell
Magnetic moment ... 0.000 μB/atom
Final energy ... -51.628 eV per atom

***

(2)
Computed, not measured: a PBEsol-optimized structure of BaHfIrOs2 at the SCAN level of DFT.

Cell: 4.7246 4.7246 5.4862 Å, 90.00 90.00 90.00°
Closest atoms and distances in Å follow each position.
Space group P4/mmm (No. 123)
Inequivalent atoms, fractional coordinates:
1 Ba 0.0000 0.0000 0.0000 [1 per cell]  2 Hf 2.74
2 Hf 0.0000 0.0000 0.5000 [1 per cell]  4 Os 2.36
3 Ir 0.5000 0.5000 0.0000 [1 per cell]  4 Ba 3.34, 8 Os 3.62
4 Os 0.0000 0.5000 0.5000 [2 per cell]  2 Hf 2.36

Values from the calculation:
D(E_F) ... 5.57 states/eV per cell
Magnetic moment ... 0.000 μB/atom
Final energy ... -61.081 eV per atom

***

What did the second record say?
Computed, not measured: a PBEsol-optimized structure of BaHfIrOs2 at the SCAN level of DFT.

Cell: 4.7246 4.7246 5.4862 Å, 90.00 90.00 90.00°
Closest atoms and distances in Å follow each position.
Space group P4/mmm (No. 123)
Inequivalent atoms, fractional coordinates:
1 Ba 0.0000 0.0000 0.0000 [1 per cell]  2 Hf 2.74
2 Hf 0.0000 0.0000 0.5000 [1 per cell]  4 Os 2.36
3 Ir 0.5000 0.5000 0.0000 [1 per cell]  4 Ba 3.34, 8 Os 3.62
4 Os 0.0000 0.5000 0.5000 [2 per cell]  2 Hf 2.36

Values from the calculation:
D(E_F) ... 5.57 states/eV per cell
Magnetic moment ... 0.000 μB/atom
Final energy ... -61.081 eV per atom

***

Q: Number 1 is which compound?
A: BaLa2HfIr